No. 1
# PBE-GGA AcNi2Ge, relaxed
data_AcNi2Ge
_chemical_formula_sum 'Ac1 Ni2 Ge1'
_symmetry_space_group_name_H-M 'P 1'
_symmetry_Int_Tables_number 1
_cell_length_a 4.162
_cell_length_b 4.162
_cell_length_c 5.716
_cell_angle_alpha 68.67
_cell_angle_beta 68.65
_cell_angle_gamma 60.00
loop_
_symmetry_equiv_pos_as_xyz
'x,y,z'
loop_
_atom_site_label
_atom_site_type_symbol
_atom_site_fract_x
_atom_site_fract_y
_atom_site_fract_z
Ni1 Ni 0.696 0.196 0.412
Ac1 Ac 0.500 0.000 0.000
Ge1 Ge 0.000 0.500 0.500
Ni2 Ni 0.304 0.804 0.588
# Uncorrected energy ... -0.411 Ry per atom
# Energy relative to the elements ... -0.52 eV/atom
# Symmetry ... No. 166
# N(E_F) ... 3.3 states/eV/f.u.

---

No. 2
# PBE-GGA V2Fe2Ag, relaxed
data_V2Fe2Ag
_chemical_formula_sum 'V4 Fe4 Ag2'
_symmetry_space_group_name_H-M 'P 1'
_symmetry_Int_Tables_number 1
_cell_length_a 7.026
_cell_length_b 7.026
_cell_length_c 2.688
_cell_angle_alpha 90.00
_cell_angle_beta 90.00
_cell_angle_gamma 90.00
loop_
_symmetry_equiv_pos_as_xyz
'x,y,z'
loop_
_atom_site_label
_atom_site_type_symbol
_atom_site_fract_x
_atom_site_fract_y
_atom_site_fract_z
Ag1 Ag 0.000 0.000 0.000
Fe1 Fe 0.354 0.146 0.500
Fe2 Fe 0.854 0.354 0.500
V1 V 0.642 0.142 0.000
V2 V 0.142 0.358 0.000
Ag2 Ag 0.500 0.500 0.000
V3 V 0.358 0.858 0.000
Fe3 Fe 0.646 0.854 0.500
Fe4 Fe 0.146 0.646 0.500
V4 V 0.858 0.642 0.000
# Energy above the lowest structure with this stoichiometry ... 118.1 meV per atom
# Uncorrected energy ... -0.542 Ry per atom
# Energy relative to the elements ... 0.23 eV/atom
# Symmetry ... No. 127
# N(E_F) ... 4.4 states/eV/f.u.

---

No. 3
# PBE-GGA GaBi2SbO6, relaxed
data_GaBi2SbO6
_chemical_formula_sum 'Ga1 Bi2 Sb1 O6'
_symmetry_space_group_name_H-M 'P 1'
_symmetry_Int_Tables_number 1
_cell_length_a 5.604
_cell_length_b 5.604
_cell_length_c 6.690
_cell_angle_alpha 65.24
_cell_angle_beta 65.24
_cell_angle_gamma 60.00
loop_
_symmetry_equiv_pos_as_xyz
'x,y,z'
loop_
_atom_site_label
_atom_site_type_symbol
_atom_site_fract_x
_atom_site_fract_y
_atom_site_fract_z
Bi1 Bi 0.044 0.044 0.869
Sb1 Sb 0.283 0.283 0.150
O1 O 0.588 0.169 0.296
O2 O 0.073 0.466 0.701
O3 O 0.947 0.588 0.296
O4 O 0.760 0.073 0.701
O5 O 0.466 0.760 0.701
Ga1 Ga 0.826 0.826 0.522
Bi2 Bi 0.506 0.506 0.483
O6 O 0.169 0.947 0.296
# Energy relative to the elements, uncorrected ... -1.28 eV/atom
# Uncorrected energy ... -0.423 Ry per atom
# Symmetry ... No. 146
# N(E_F) ... 0.0 states/eV/f.u.

---

No. 4
# PBE-GGA ZrGaRh2, relaxed
data_ZrGaRh2
_chemical_formula_sum 'Zr1 Ga1 Rh2'
_symmetry_space_group_name_H-M 'P 1'
_symmetry_Int_Tables_number 1
_cell_length_a 3.563
_cell_length_b 4.234
_cell_length_c 4.234
_cell_angle_alpha 90.00
_cell_angle_beta 90.00
_cell_angle_gamma 90.00
loop_
_symmetry_equiv_pos_as_xyz
'x,y,z'
loop_
_atom_site_label
_atom_site_type_symbol
_atom_site_fract_x
_atom_site_fract_y
_atom_site_fract_z
Zr1 Zr 0.500 0.000 0.000
Ga1 Ga 0.500 0.500 0.500
Rh1 Rh 0.000 0.000 0.500
Rh2 Rh 0.000 0.500 0.000
# Uncorrected energy ... -0.541 Ry per atom
# Energy relative to the elements ... -0.79 eV/atom
# Symmetry ... No. 123
# N(E_F) ... 1.9 states/eV/f.u.

---

No. 5
# PBE-GGA Sm2TlZn5, relaxed
data_Sm2TlZn5
_chemical_formula_sum 'Sm4 Tl2 Zn10'
_symmetry_space_group_name_H-M 'P 1'
_symmetry_Int_Tables_number 1
_cell_length_a 4.434
_cell_length_b 8.557
_cell_length_c 9.106
_cell_angle_alpha 90.00
_cell_angle_beta 90.00
_cell_angle_gamma 105.02
loop_
_symmetry_equiv_pos_as_xyz
'x,y,z'
loop_
_atom_site_label
_atom_site_type_symbol
_atom_site_fract_x
_atom_site_fract_y
_atom_site_fract_z
Zn1 Zn 0.344 0.688 0.517
Zn2 Zn 0.608 0.216 0.750
Zn3 Zn 0.656 0.312 0.483
Zn4 Zn 0.814 0.628 0.391
Tl1 Tl 0.553 0.107 0.250
Zn5 Zn 0.656 0.312 0.017
Sm1 Sm 0.204 0.409 0.250
Zn6 Zn 0.392 0.784 0.250
Sm2 Sm 0.000 0.000 0.500
Zn7 Zn 0.344 0.688 0.983
Zn8 Zn 0.186 0.372 0.609
Sm3 Sm 0.000 0.000 0.000
Sm4 Sm 0.796 0.591 0.750
Zn9 Zn 0.186 0.372 0.891
Zn10 Zn 0.814 0.628 0.109
Tl2 Tl 0.447 0.893 0.750
# Uncorrected energy ... -0.190 Ry per atom
# Energy relative to the elements ... -0.31 eV/atom
# Symmetry ... No. 63
# N(E_F) ... 5.7 states/eV/f.u.

---

No. 6
# PBE-GGA Cs2CeNp2S6, relaxed
data_Cs2CeNp2S6
_chemical_formula_sum 'Cs2 Ce1 Np2 S6'
_symmetry_space_group_name_H-M 'P 1'
_symmetry_Int_Tables_number 1
_cell_length_a 7.113
_cell_length_b 7.113
_cell_length_c 8.552
_cell_angle_alpha 97.82
_cell_angle_beta 97.82
_cell_angle_gamma 120.19
loop_
_symmetry_equiv_pos_as_xyz
'x,y,z'
loop_
_atom_site_label
_atom_site_type_symbol
_atom_site_fract_x
_atom_site_fract_y
_atom_site_fract_z
S1 S 0.055 0.399 0.675
S2 S 0.718 0.718 0.676
Ce1 Ce 0.000 0.000 0.500
Np1 Np 0.334 0.666 0.500
Cs1 Cs 0.166 0.834 0.000
S3 S 0.282 0.282 0.324
S4 S 0.399 0.055 0.675
S5 S 0.945 0.601 0.325
Cs2 Cs 0.834 0.166 0.000
S6 S 0.601 0.945 0.325
Np2 Np 0.666 0.334 0.500
# Energy relative to the elements, uncorrected ... -1.54 eV/atom
# Uncorrected energy ... -0.503 Ry per atom
# Symmetry ... No. 12
# N(E_F) ... 25.5 states/eV/f.u.

---

No. 7
# PBE-GGA Zr2Hg2As, relaxed
data_Zr2Hg2As
_chemical_formula_sum 'Zr4 Hg4 As2'
_symmetry_space_group_name_H-M 'P 1'
_symmetry_Int_Tables_number 1
_cell_length_a 7.035
_cell_length_b 7.035
_cell_length_c 4.661
_cell_angle_alpha 90.00
_cell_angle_beta 90.00
_cell_angle_gamma 90.00
loop_
_symmetry_equiv_pos_as_xyz
'x,y,z'
loop_
_atom_site_label
_atom_site_type_symbol
_atom_site_fract_x
_atom_site_fract_y
_atom_site_fract_z
Zr1 Zr 0.661 0.161 0.000
Zr2 Zr 0.339 0.839 0.000
Hg1 Hg 0.351 0.149 0.500
Zr3 Zr 0.839 0.661 0.000
As1 As 0.000 0.000 0.000
Hg2 Hg 0.851 0.351 0.500
Zr4 Zr 0.161 0.339 0.000
As2 As 0.500 0.500 0.000
Hg3 Hg 0.649 0.851 0.500
Hg4 Hg 0.149 0.649 0.500
# Uncorrected energy ... -0.356 Ry per atom
# Energy relative to the elements ... -0.37 eV/atom
# Symmetry ... No. 127
# N(E_F) ... 3.8 states/eV/f.u.

---

No. 8
# PBE-GGA InP2PtCl, relaxed
data_InP2PtCl
_chemical_formula_sum 'In1 P2 Pt1 Cl1'
_symmetry_space_group_name_H-M 'P 1'
_symmetry_Int_Tables_number 1
_cell_length_a 4.502
_cell_length_b 4.502
_cell_length_c 7.614
_cell_angle_alpha 90.00
_cell_angle_beta 90.00
_cell_angle_gamma 90.00
loop_
_symmetry_equiv_pos_as_xyz
'x,y,z'
loop_
_atom_site_label
_atom_site_type_symbol
_atom_site_fract_x
_atom_site_fract_y
_atom_site_fract_z
P1 P 0.500 0.000 0.000
P2 P 0.000 0.500 0.000
Pt1 Pt 0.000 0.000 0.000
Cl1 Cl 0.000 0.000 0.500
In1 In 0.500 0.500 0.500
# Energy above the lowest structure with this stoichiometry ... 0.0 meV per atom
# Energy relative to the elements, uncorrected ... 0.21 eV/atom
# Uncorrected energy ... -0.300 Ry per atom
# Symmetry ... No. 123
# N(E_F) ... 2.1 states/eV/f.u.

---

No. 9
# PBE-GGA CdReRu2, relaxed
data_CdReRu2
_chemical_formula_sum 'Cd1 Re1 Ru2'
_symmetry_space_group_name_H-M 'P 1'
_symmetry_Int_Tables_number 1
_cell_length_a 4.683
_cell_length_b 4.683
_cell_length_c 4.683
_cell_angle_alpha 128.18
_cell_angle_beta 128.18
_cell_angle_gamma 76.33
loop_
_symmetry_equiv_pos_as_xyz
'x,y,z'
loop_
_atom_site_label
_atom_site_type_symbol
_atom_site_fract_x
_atom_site_fract_y
_atom_site_fract_z
Re1 Re 0.750 0.250 0.500
Ru1 Ru 0.500 0.500 0.000
Cd1 Cd 0.250 0.750 0.500
Ru2 Ru 0.000 0.000 0.000
# Uncorrected energy ... -0.553 Ry per atom
# Energy relative to the elements ... 0.45 eV/atom
# Symmetry ... No. 139
# N(E_F) ... 4.4 states/eV/f.u.